The following is a DFT calculation (GGA+U) of an optimized crystal structure of TlVF3.

As for the excess energy over the best structure of this formula in the dataset: 0.1157 eV per atom. For the size of the total moment, the calculation gives 3.00 μB/f.u.

a b c (Å): 3.410 5.613 8.275
angles (deg): 90.00 90.09 90.00
Space group P2_1/m (No. 11)
Unique sites:
Tl  0.247  0.250  0.365
V  0.251  0.750  0.119
F  0.250  0.012  0.874
F  0.252  0.750  0.373